1.
# Ac2Nd7Ho3 | Alexandria | PBE | optimized geometry
data_Ac2Nd7Ho3
_chemical_formula_sum 'Ac2 Nd7 Ho3'
_cell_length_a 3.654
_cell_length_b 6.535
_cell_length_c 18.604
_cell_angle_alpha 104.33
_cell_angle_beta 90.00
_cell_angle_gamma 90.00
_space_group_name_H-M_alt 'P 1'
_space_group_IT_number 1
loop_
_space_group_symop_operation_xyz
'x,y,z'
loop_
_atom_site_label
_atom_site_type_symbol
_atom_site_fract_x
_atom_site_fract_y
_atom_site_fract_z
Nd1 Nd 0.500 0.065 0.834
Ho1 Ho 0.500 0.500 0.000
Ho2 Ho 0.000 0.110 0.660
Nd2 Nd 0.500 0.935 0.166
Nd3 Nd 0.000 0.000 0.000
Nd4 Nd 0.500 0.764 0.503
Ac1 Ac 0.500 0.389 0.328
Ac2 Ac 0.500 0.611 0.672
Nd5 Nd 0.000 0.441 0.160
Nd6 Nd 0.000 0.559 0.840
Nd7 Nd 0.500 0.236 0.497
Ho3 Ho 0.000 0.890 0.340
# Crystal system: monoclinic
# Symmetry: No. 10

---

2.
# Y2HoTh2 | Alexandria | PBE | optimized geometry
data_Y2HoTh2
_chemical_formula_sum 'Y2 Ho1 Th2'
_cell_length_a 3.505
_cell_length_b 5.809
_cell_length_c 8.656
_cell_angle_alpha 109.61
_cell_angle_beta 101.68
_cell_angle_gamma 90.00
_space_group_name_H-M_alt 'P 1'
_space_group_IT_number 1
loop_
_space_group_symop_operation_xyz
'x,y,z'
loop_
_atom_site_label
_atom_site_type_symbol
_atom_site_fract_x
_atom_site_fract_y
_atom_site_fract_z
Th1 Th 0.288 0.788 0.576
Y1 Y 0.399 0.399 0.797
Y2 Y 0.601 0.601 0.203
Th2 Th 0.712 0.212 0.424
Ho1 Ho 0.000 0.000 0.000
# Crystal system: orthorhombic
# Symmetry: No. 71
# Energy above the most stable polymorph in this dataset (eV/atom): 0.000

---

| no. | uncorrected energy (hartree per atom) |
| --- | --- |
| 1 | -0.1663 |
| 2 | -0.2351 |